Here is NaHgAs after structural relaxation from Alexandria via LeMat-Bulk. Energies are from PBE.

The calculation puts the formation energy at -0.784 eV per formula unit. Its crystal system is orthorhombic. As for the total energy: -112.877 eV/cell. The calculation puts the calculated volume at 88.16 Å³/f.u.

The space group is Fddd (No. 70, origin choice 2) and the conventional cell measures 10.311, 10.513 and 13.014 Å, with angles of 90.00, 90.00 and 90.00 degrees. The asymmetric unit holds Na at (0.125, 0.125, 0.263), Hg at (0.000, 0.000, 0.500) and As at (0.125, 0.358, 0.125).